No. 1
DFT (PBE) results for a relaxed Li5CdAg5 crystal.

Output
- Energy of formation from the pure elements: -0.11 eV/atom

Lattice parameters (Å, degrees): 5.4805 5.6920 6.7871 100.21 96.07 105.99
Space group P-1 (No. 2)
One atom of each set of equivalent atoms:
Li 0.0000 0.0000 0.0000
Li 0.1560 0.5898 0.6895
Li 0.1910 0.0984 0.6570
Cd 0.5000 0.0000 0.0000
Ag 0.2919 0.7869 0.3319
Ag 0.3219 0.2989 0.3425
Ag 0.5000 0.5000 0.0000

=====

No. 2
DFT (PBE) results for a relaxed Li2CdAg2 crystal.

Output
- Energy of formation from the pure elements: -0.16 eV/atom
- Offset from the most stable computed form: 32 meV/atom

Lattice parameters (Å, degrees): 13.8594 4.3859 2.8654 90.00 92.22 90.00
Space group C2/m (No. 12)
One atom of each set of equivalent atoms:
Li 0.1998 0.0000 0.0179
Cd 0.0000 0.0000 0.0000
Ag 0.1147 0.5000 0.4990

=====

no.,N(E_F) (states/eV per atom),raw total energy (eV per atom)
1,0.391,-2.36
2,0.322,-2.25